The following is a DFT calculation (PBE) of crystalline ZrHg2Os at its relaxed geometry.

For the relative energy among the computed polymorphs, the calculation gives 0.53 eV per formula unit. The value obtained for the magnetization is 0.0 Bohr magnetons per cell. The calculation puts the formation enthalpy at 0 K at 20.7 kJ/mol of atoms. As for the symmetry: R3m, No. 160.

a = 9.294 Å, b = 9.294 Å, c = 9.294 Å
α = 20.62°, β = 20.62°, γ = 20.62°
Atoms (fractional coordinates):
Hg 0.003 0.003 0.003
Hg 0.243 0.243 0.243
Os 0.492 0.492 0.492
Zr 0.761 0.761 0.761


The following is a DFT calculation (PBE) of crystalline NbCo4W at its relaxed geometry.

The value obtained for the magnetization is 2.0 Bohr magnetons per cell. The calculation puts the formation enthalpy at 0 K at -5.2 kJ/mol of atoms. As for the symmetry: F-43m, No. 216.

a = 4.725 Å, b = 4.725 Å, c = 4.725 Å
α = 60.00°, β = 60.00°, γ = 60.00°
Atoms (fractional coordinates):
Nb 0.000 0.000 0.000
Co 0.625 0.625 0.126
Co 0.625 0.126 0.625
Co 0.625 0.625 0.625
Co 0.126 0.625 0.625
W 0.250 0.250 0.250


The following is a DFT calculation (PBE) of crystalline RbAl2Co at its relaxed geometry.

For the relative energy among the computed polymorphs, the calculation gives 0.00 eV per formula unit. The value obtained for the magnetization is 0.0 Bohr magnetons per cell. The calculation puts the formation enthalpy at 0 K at 27.6 kJ/mol of atoms. As for the symmetry: I4_1/amd, No. 141.

a = 6.366 Å, b = 6.366 Å, c = 7.693 Å
α = 65.56°, β = 65.56°, γ = 90.00°
Atoms (fractional coordinates):
Co 0.500 0.500 0.000
Co 0.250 0.750 0.500
Al 0.375 0.125 0.250
Al 0.375 0.625 0.250
Al 0.375 0.625 0.750
Al 0.875 0.625 0.750
Rb 0.000 0.000 0.000
Rb 0.750 0.250 0.500


The following is a DFT calculation (PBE) of crystalline Ac2Nd5SmY at its relaxed geometry.

The value obtained for the magnetization is 0.0 Bohr magnetons per cell. The calculation puts the formation enthalpy at 0 K at 12.8 kJ/mol of atoms. As for the symmetry: Cmc2_1, No. 36.

a = 5.865 Å, b = 10.835 Å, c = 11.027 Å
α = 90.00°, β = 90.00°, γ = 105.70°
Atoms (fractional coordinates):
Ac 0.882 0.763 0.820
Ac 0.112 0.224 0.733
Ac 0.118 0.237 0.320
Ac 0.888 0.776 0.233
Nd 0.393 0.787 0.024
Nd 0.718 0.436 0.807
Nd 0.481 0.962 0.744
Nd 0.295 0.590 0.700
Nd 0.981 0.962 0.524
Nd 0.607 0.213 0.524
Nd 0.282 0.564 0.307
Nd 0.519 0.038 0.244
Nd 0.705 0.410 0.200
Nd 0.019 0.038 0.024
Sm 0.793 0.586 0.507
Sm 0.207 0.414 0.007
Y 0.592 0.184 0.966
Y 0.408 0.816 0.466


The following is a DFT calculation (PBE) of crystalline Rb2SrGa2 at its relaxed geometry.

The value obtained for the magnetization is 1.0 Bohr magnetons per cell. The calculation puts the formation enthalpy at 0 K at 5.7 kJ/mol of atoms. As for the symmetry: P4/mbm, No. 127.

a = 8.338 Å, b = 8.338 Å, c = 6.239 Å
α = 90.00°, β = 90.00°, γ = 90.00°
Atoms (fractional coordinates):
Sr 0.000 0.000 0.000
Sr 0.500 0.500 0.000
Ga 0.395 0.895 0.000
Ga 0.895 0.605 0.000
Ga 0.605 0.105 0.000
Ga 0.105 0.395 0.000
Rb 0.176 0.676 0.500
Rb 0.676 0.824 0.500
Rb 0.824 0.324 0.500
Rb 0.324 0.176 0.500


The following is a DFT calculation (PBE) of crystalline CaOsSe2 at its relaxed geometry.

For the relative energy among the computed polymorphs, the calculation gives 2.07 eV per formula unit. The value obtained for the magnetization is 0.0 Bohr magnetons per cell. As for the symmetry: R-3m, No. 166.

a = 8.469 Å, b = 8.469 Å, c = 8.469 Å
α = 26.34°, β = 26.34°, γ = 26.34°
Atoms (fractional coordinates):
Ca 0.000 0.000 0.000
Os 0.500 0.500 0.500
Se 0.883 0.883 0.883
Se 0.117 0.117 0.117


The following is a DFT calculation (PBE) of crystalline NdY6Ho2Er at its relaxed geometry.

The value obtained for the magnetization is 0.0 Bohr magnetons per cell. The calculation puts the formation enthalpy at 0 K at 11.7 kJ/mol of atoms. As for the symmetry: C2/c, No. 15.

a = 9.697 Å, b = 8.756 Å, c = 8.756 Å
α = 117.22°, β = 94.71°, γ = 94.71°
Atoms (fractional coordinates):
Nd 0.250 0.406 0.594
Nd 0.750 0.594 0.406
Y 0.056 0.119 0.752
Y 0.444 0.248 0.881
Y 0.944 0.881 0.248
Y 0.556 0.752 0.119
Y 0.318 0.977 0.426
Y 0.182 0.574 0.023
Y 0.682 0.023 0.574
Y 0.818 0.426 0.977
Y 0.120 0.706 0.497
Y 0.380 0.503 0.294
Y 0.880 0.294 0.503
Y 0.620 0.497 0.706
Ho 0.455 0.808 0.708
Ho 0.045 0.292 0.192
Ho 0.545 0.192 0.292
Ho 0.955 0.708 0.808
Er 0.250 0.977 0.023
Er 0.750 0.023 0.977


The following is a DFT calculation (PBE) of crystalline CdMo2AuSe at its relaxed geometry.

The value obtained for the magnetization is 0.7 Bohr magnetons per cell. As for the symmetry: P4/mmm, No. 123. The value obtained for the energy is -23.74 eV per cell.

a = 4.628 Å, b = 5.019 Å, c = 4.628 Å
α = 90.00°, β = 90.00°, γ = 90.00°
Atoms (fractional coordinates):
Mo 0.000 0.000 0.500
Mo 0.500 0.000 0.000
Au 0.500 0.500 0.500
Se 0.000 0.000 0.000
Cd 0.000 0.500 0.000